A plane-wave DFT calculation with GGA-PBE was carried out for an optimized crystal structure of Li2PrTl4.

Cell: 9.079 9.079 9.079 Å, 31.64 31.64 31.64°
Positions (direct):
Li (0.248, 0.248, 0.248)
Li (0.752, 0.752, 0.752)
Pr (0.000, 0.000, 0.000)
Tl (0.134, 0.134, 0.134)
Tl (0.393, 0.393, 0.393)
Tl (0.607, 0.607, 0.607)
Tl (0.866, 0.866, 0.866)

## Properties
DFT formation energy = -212 meV per atom
space group = R-3m (166)